one:
{"formula": "TlNiSb2", "functional": "GGA-PBE", "state": "optimized geometry", "m_tot_mub_per_fu": 0.0, "crystal_system": "monoclinic", "cell": [[3.752, 0.000, 0.000], [0.000, 3.550, 0.000], [-1.695, 0.000, 7.388]], "species": ["Tl", "Ni", "Sb", "Sb"], "frac_coords": [[0.000, 0.000, 0.000], [0.825, 0.500, 0.669], [0.294, 0.000, 0.599], [0.653, 0.500, 0.317]]}

---

two:
{"formula": "TlNiSb2", "functional": "GGA-PBE", "state": "optimized geometry", "m_tot_mub_per_fu": 0.0, "crystal_system": "orthorhombic", "cell": [[2.135, -2.392, 0.000], [2.135, 2.392, 0.000], [0.000, 0.000, 9.489]], "species": ["Tl", "Ni", "Sb", "Sb"], "frac_coords": [[0.000, 0.000, 0.000], [0.000, 0.000, 0.500], [0.500, 0.500, 0.326], [0.500, 0.500, 0.674]]}

---

three:
{"formula": "TlNiSb2", "functional": "GGA-PBE", "state": "optimized geometry", "m_tot_mub_per_fu": 0.0, "crystal_system": "tetragonal", "cell": [[-2.299, 2.299, 4.454], [2.299, -2.299, 4.454], [2.299, 2.299, -4.454]], "species": ["Tl", "Ni", "Sb", "Sb"], "frac_coords": [[0.000, 0.000, 0.000], [0.250, 0.750, 0.500], [0.500, 0.500, 0.000], [0.750, 0.250, 0.500]]}

---

four:
{"formula": "TlNiSb2", "functional": "GGA-PBE", "state": "optimized geometry", "m_tot_mub_per_fu": 0.0, "crystal_system": "monoclinic", "cell": [[2.982, -4.120, 0.000], [2.982, 4.120, 0.000], [-2.866, 0.000, 4.079]], "species": ["Tl", "Ni", "Sb", "Sb"], "frac_coords": [[0.000, 0.000, 0.000], [0.500, 0.500, 0.000], [0.000, 0.500, 0.500], [0.500, 0.000, 0.500]]}

---

Calculated relative energies: one 10.3; two 0.0; three 41.2; four 38.2, given in kJ/mol of atoms

---

one:
{"formula": "Tl3NiSb", "functional": "GGA-PBE", "state": "optimized geometry", "m_tot_mub_per_fu": 0.3, "crystal_system": "cubic", "cell": [[5.162, 0.000, 0.000], [0.000, 5.162, 0.000], [0.000, 0.000, 5.162]], "species": ["Tl", "Tl", "Tl", "Ni", "Sb"], "frac_coords": [[0.000, 0.000, 0.500], [0.000, 0.500, 0.000], [0.500, 0.000, 0.000], [0.000, 0.000, 0.000], [0.500, 0.500, 0.500]]}

---

two:
{"formula": "Tl3NiSb", "functional": "GGA-PBE", "state": "optimized geometry", "m_tot_mub_per_fu": 0.0, "crystal_system": "cubic", "cell": [[5.844, 0.000, 0.000], [0.000, 5.844, 0.000], [0.000, 0.000, 5.844]], "species": ["Tl", "Tl", "Tl", "Ni", "Sb"], "frac_coords": [[0.000, 0.000, 0.500], [0.000, 0.500, 0.000], [0.500, 0.000, 0.000], [0.500, 0.500, 0.500], [0.000, 0.000, 0.000]]}

---

Calculated relative energies: one 0.0; two 76.3, given in kJ/mol of atoms

---

one:
{"formula": "Tm4NiSb", "functional": "GGA-PBE", "state": "optimized geometry", "m_tot_mub_per_fu": 0.0, "crystal_system": "monoclinic", "cell": [[7.481, -3.190, 0.000], [7.481, 3.190, 0.000], [-2.187, 0.000, 6.768]], "species": ["Tm", "Tm", "Tm", "Tm", "Tm", "Tm", "Tm", "Tm", "Ni", "Ni", "Sb", "Sb"], "frac_coords": [[0.005, 0.815, 0.536], [0.185, 0.995, 0.964], [0.245, 0.408, 0.851], [0.408, 0.245, 0.351], [0.592, 0.755, 0.649], [0.755, 0.592, 0.149], [0.815, 0.005, 0.036], [0.995, 0.185, 0.464], [0.000, 0.500, 0.500], [0.500, 0.000, 0.000], [0.350, 0.650, 0.250], [0.650, 0.350, 0.750]]}

---

two:
{"formula": "Tm4NiSb", "functional": "GGA-PBE", "state": "optimized geometry", "m_tot_mub_per_fu": 0.0, "crystal_system": "monoclinic", "cell": [[5.962, 0.000, 0.000], [0.000, 6.466, 0.000], [-2.879, 0.000, 7.952]], "species": ["Tm", "Tm", "Tm", "Tm", "Tm", "Tm", "Tm", "Tm", "Ni", "Ni", "Sb", "Sb"], "frac_coords": [[0.011, 0.001, 0.207], [0.011, 0.499, 0.207], [0.400, 0.250, 0.625], [0.438, 0.250, 0.089], [0.562, 0.750, 0.911], [0.600, 0.750, 0.375], [0.989, 0.501, 0.793], [0.989, 0.999, 0.793], [0.251, 0.750, 0.065], [0.749, 0.250, 0.935], [0.207, 0.750, 0.548], [0.793, 0.250, 0.452]]}

---

Calculated relative energies: one 11.8; two 0.0, given in kJ/mol of atoms

---

one:
{"formula": "Tm7Ni2Sb2", "functional": "GGA-PBE", "state": "optimized geometry", "m_tot_mub_per_fu": 0.0, "crystal_system": "orthorhombic", "cell": [[-1.885, 7.715, 4.810], [1.885, -7.715, 4.810], [1.885, 7.715, -4.810]], "species": ["Tm", "Tm", "Tm", "Tm", "Tm", "Tm", "Tm", "Ni", "Ni", "Sb", "Sb"], "frac_coords": [[0.000, 0.000, 0.000], [0.060, 0.374, 0.687], [0.072, 0.721, 0.352], [0.369, 0.721, 0.648], [0.450, 0.577, 0.874], [0.687, 0.374, 0.313], [0.703, 0.577, 0.126], [0.304, 0.065, 0.239], [0.826, 0.065, 0.761], [0.329, 0.329, 0.000], [0.742, 0.242, 0.500]]}

---

two:
{"formula": "Tm7Ni2Sb2", "functional": "GGA-PBE", "state": "optimized geometry", "m_tot_mub_per_fu": 0.0, "crystal_system": "orthorhombic", "cell": [[4.136, -5.315, 0.000], [4.136, 5.315, 0.000], [0.000, 0.000, 6.745]], "species": ["Tm", "Tm", "Tm", "Tm", "Tm", "Tm", "Tm", "Ni", "Ni", "Sb", "Sb"], "frac_coords": [[0.000, 0.000, 0.000], [0.000, 0.500, 0.244], [0.000, 0.500, 0.756], [0.500, 0.000, 0.244], [0.500, 0.000, 0.756], [0.500, 0.500, 0.232], [0.500, 0.500, 0.768], [0.283, 0.717, 0.000], [0.717, 0.283, 0.000], [0.196, 0.196, 0.500], [0.804, 0.804, 0.500]]}

---

Calculated relative energies: one 0.0; two 15.9, given in kJ/mol of atoms

---

one:
{"formula": "VNiSb3", "functional": "GGA-PBE", "state": "optimized geometry", "m_tot_mub_per_fu": 3.2, "crystal_system": "cubic", "cell": [[4.965, 0.000, 0.000], [0.000, 4.965, 0.000], [0.000, 0.000, 4.965]], "species": ["V", "Ni", "Sb", "Sb", "Sb"], "frac_coords": [[0.000, 0.000, 0.000], [0.500, 0.500, 0.500], [0.000, 0.500, 0.500], [0.500, 0.000, 0.500], [0.500, 0.500, 0.000]]}

---

two:
{"formula": "VNiSb3", "functional": "GGA-PBE", "state": "optimized geometry", "m_tot_mub_per_fu": 0.1, "crystal_system": "cubic", "cell": [[5.035, 0.000, 0.000], [0.000, 5.035, 0.000], [0.000, 0.000, 5.035]], "species": ["V", "Ni", "Sb", "Sb", "Sb"], "frac_coords": [[0.000, 0.000, 0.000], [0.500, 0.500, 0.500], [0.000, 0.000, 0.500], [0.000, 0.500, 0.000], [0.500, 0.000, 0.000]]}

---

Calculated relative energies: one 0.0; two 10.2, given in kJ/mol of atoms

---

one:
{"formula": "NiSb2W", "functional": "GGA-PBE", "state": "optimized geometry", "m_tot_mub_per_fu": 0.0, "crystal_system": "orthorhombic", "cell": [[1.897, -2.478, 0.000], [1.897, 2.478, 0.000], [0.000, 0.000, 7.933]], "species": ["Ni", "Sb", "Sb", "W"], "frac_coords": [[0.000, 0.000, 0.000], [0.500, 0.500, 0.234], [0.500, 0.500, 0.766], [0.000, 0.000, 0.500]]}

---

two:
{"formula": "NiSb2W", "functional": "GGA-PBE", "state": "optimized geometry", "m_tot_mub_per_fu": 0.0, "crystal_system": "cubic", "cell": [[0.000, 3.318, 3.318], [3.318, 0.000, 3.318], [3.318, 3.318, 0.000]], "species": ["Ni", "Sb", "Sb", "W"], "frac_coords": [[0.000, 0.000, 0.000], [0.250, 0.250, 0.250], [0.750, 0.750, 0.750], [0.500, 0.500, 0.500]]}

---

three:
{"formula": "NiSb2W", "functional": "GGA-PBE", "state": "optimized geometry", "m_tot_mub_per_fu": 0.6, "crystal_system": "tetragonal", "cell": [[-1.969, 1.969, 4.752], [1.969, -1.969, 4.752], [1.969, 1.969, -4.752]], "species": ["Ni", "Sb", "Sb", "W"], "frac_coords": [[0.000, 0.000, 0.000], [0.500, 0.500, 0.000], [0.750, 0.250, 0.500], [0.250, 0.750, 0.500]]}

---

Calculated relative energies: one 7.7; two 0.0; three 8.6, given in kJ/mol of atoms

---

one:
{"formula": "NiSb2W", "functional": "GGA-PBE", "state": "optimized geometry", "m_tot_mub_per_fu": 0.0, "crystal_system": "monoclinic", "cell": [[3.411, 0.000, 0.000], [0.000, 3.406, 0.000], [-0.589, 0.000, 6.164]], "species": ["Ni", "Sb", "Sb", "W"], "frac_coords": [[0.000, 0.000, 0.000], [0.455, 0.500, 0.245], [0.545, 0.500, 0.755], [0.000, 0.000, 0.500]]}

---

two:
{"formula": "NiSb2W", "functional": "GGA-PBE", "state": "optimized geometry", "m_tot_mub_per_fu": 0.0, "crystal_system": "cubic", "cell": [[0.000, 3.360, 3.360], [3.360, 0.000, 3.360], [3.360, 3.360, 0.000]], "species": ["Ni", "Sb", "Sb", "W"], "frac_coords": [[0.000, 0.000, 0.000], [0.500, 0.500, 0.500], [0.750, 0.750, 0.750], [0.250, 0.250, 0.250]]}

---

Calculated relative energies: one 0.0; two 48.9, given in kJ/mol of atoms

---

one:
{"formula": "NiSb3W", "functional": "GGA-PBE", "state": "optimized geometry", "m_tot_mub_per_fu": 2.6, "crystal_system": "cubic", "cell": [[4.901, 0.000, 0.000], [0.000, 4.901, 0.000], [0.000, 0.000, 4.901]], "species": ["Ni", "Sb", "Sb", "Sb", "W"], "frac_coords": [[0.000, 0.000, 0.000], [0.000, 0.000, 0.500], [0.000, 0.500, 0.000], [0.500, 0.000, 0.000], [0.500, 0.500, 0.500]]}

---

two:
{"formula": "NiSb3W", "functional": "GGA-PBE", "state": "optimized geometry", "m_tot_mub_per_fu": 0.0, "crystal_system": "cubic", "cell": [[5.199, 0.000, 0.000], [0.000, 5.199, 0.000], [0.000, 0.000, 5.199]], "species": ["Ni", "Sb", "Sb", "Sb", "W"], "frac_coords": [[0.000, 0.000, 0.000], [0.000, 0.500, 0.500], [0.500, 0.000, 0.500], [0.500, 0.500, 0.000], [0.500, 0.500, 0.500]]}

---

Calculated relative energies: one 1.7; two 0.0, given in kJ/mol of atoms

---

one:
{"formula": "YNiSb3", "functional": "GGA-PBE", "state": "optimized geometry", "m_tot_mub_per_fu": 0.0, "crystal_system": "cubic", "cell": [[5.046, 0.000, 0.000], [0.000, 5.046, 0.000], [0.000, 0.000, 5.046]], "species": ["Y", "Ni", "Sb", "Sb", "Sb"], "frac_coords": [[0.000, 0.000, 0.000], [0.500, 0.500, 0.500], [0.000, 0.500, 0.500], [0.500, 0.000, 0.500], [0.500, 0.500, 0.000]]}

---

two:
{"formula": "YNiSb3", "functional": "GGA-PBE", "state": "optimized geometry", "m_tot_mub_per_fu": 0.6, "crystal_system": "cubic", "cell": [[5.717, 0.000, 0.000], [0.000, 5.717, 0.000], [0.000, 0.000, 5.717]], "species": ["Y", "Ni", "Sb", "Sb", "Sb"], "frac_coords": [[0.000, 0.000, 0.000], [0.500, 0.500, 0.500], [0.000, 0.000, 0.500], [0.000, 0.500, 0.000], [0.500, 0.000, 0.000]]}

---

Calculated relative energies: one 0.0; two 99.5, given in kJ/mol of atoms

---

one:
{"formula": "Y2NiSb", "functional": "GGA-PBE", "state": "optimized geometry", "m_tot_mub_per_fu": 0.9, "crystal_system": "trigonal", "cell": [[2.113, 1.220, 6.959], [-2.113, 1.220, 6.959], [0.000, -2.440, 6.959]], "species": ["Y", "Y", "Ni", "Sb"], "frac_coords": [[0.000, 0.000, 0.000], [0.189, 0.189, 0.189], [0.446, 0.446, 0.446], [0.757, 0.757, 0.757]]}

---

two:
{"formula": "Y2NiSb", "functional": "GGA-PBE", "state": "optimized geometry", "m_tot_mub_per_fu": 0.0, "crystal_system": "tetragonal", "cell": [[4.193, 0.000, 0.000], [0.000, 4.193, 0.000], [0.000, 0.000, 6.108]], "species": ["Y", "Y", "Ni", "Sb"], "frac_coords": [[0.000, 0.000, 0.000], [0.500, 0.500, 0.398], [0.000, 0.000, 0.434], [0.500, 0.500, 0.892]]}

---

three:
{"formula": "Y2NiSb", "functional": "GGA-PBE", "state": "optimized geometry", "m_tot_mub_per_fu": 0.0, "crystal_system": "tetragonal", "cell": [[-3.863, 3.863, 3.382], [3.863, -3.863, 3.382], [3.863, 3.863, -3.382]], "species": ["Y", "Y", "Y", "Y", "Ni", "Ni", "Sb", "Sb"], "frac_coords": [[0.080, 0.125, 0.455], [0.375, 0.920, 0.045], [0.670, 0.625, 0.545], [0.875, 0.330, 0.955], [0.000, 0.000, 0.000], [0.750, 0.250, 0.500], [0.250, 0.750, 0.500], [0.500, 0.500, 0.000]]}

---

four:
{"formula": "Y2NiSb", "functional": "GGA-PBE", "state": "optimized geometry", "m_tot_mub_per_fu": 0.0, "crystal_system": "monoclinic", "cell": [[4.141, 0.000, 0.000], [0.000, 4.195, 0.000], [-2.070, 0.000, 5.553]], "species": ["Y", "Y", "Ni", "Sb"], "frac_coords": [[0.000, 0.000, 0.000], [0.292, 0.500, 0.584], [0.551, 0.500, 0.105], [0.711, 0.000, 0.421]]}

---

Calculated relative energies: one 25.4; two 26.0; three 35.1; four 0.0, given in kJ/mol of atoms

---

one:
{"formula": "Y2NiSb", "functional": "GGA-PBE", "state": "optimized geometry", "m_tot_mub_per_fu": 0.0, "crystal_system": "cubic", "cell": [[0.000, 3.578, 3.578], [3.578, 0.000, 3.578], [3.578, 3.578, 0.000]], "species": ["Y", "Y", "Ni", "Sb"], "frac_coords": [[0.000, 0.000, 0.000], [0.250, 0.250, 0.250], [0.500, 0.500, 0.500], [0.750, 0.750, 0.750]]}

---

two:
{"formula": "Y2NiSb", "functional": "GGA-PBE", "state": "optimized geometry", "m_tot_mub_per_fu": 0.0, "crystal_system": "monoclinic", "cell": [[3.518, 0.000, 0.000], [0.000, 3.746, 0.000], [-0.014, 0.000, 7.122]], "species": ["Y", "Y", "Ni", "Sb"], "frac_coords": [[0.000, 0.000, 0.229], [0.000, 0.000, 0.771], [0.500, 0.500, 0.000], [0.500, 0.500, 0.500]]}

---

Calculated relative energies: one 53.1; two 0.0, given in kJ/mol of atoms